[1]
{
  "formula": "K2RbVI",
  "functional": "PBE",
  "state": "optimized geometry",
  "e_form_raw_ev_per_atom": 0.38,
  "final_energy_ev_per_atom": -2.383,
  "volume_a3_per_atom": 58.40,
  "n_ef_per_ev_atom": 0.55,
  "cell": [[-6.0785, -0.0937, -2.4562], [-0.4509, -6.6378, 1.3689], [-2.4192, 1.3881, 5.9339]],
  "species": ["I", "K", "K", "Rb", "V"],
  "frac_coords": [[0.5000, 0.5000, 0.5000], [0.0000, 0.0000, 0.5000], [0.5000, 0.0000, 0.0000], [0.0000, 0.5000, 0.0000], [0.0000, 0.0000, 0.0000]]
}

=====

[2]
{
  "formula": "KRbVI6",
  "functional": "PBE",
  "state": "optimized geometry",
  "e_form_raw_ev_per_atom": -0.80,
  "final_energy_ev_per_atom": -3.073,
  "volume_a3_per_atom": 48.54,
  "n_ef_per_ev_atom": 0.77,
  "cell": [[8.5139, 0.0049, 0.0003], [4.2613, 7.3702, -0.0006], [0.0003, -0.0005, 6.9645]],
  "species": ["K", "Rb", "V", "I", "I", "I", "I", "I", "I"],
  "frac_coords": [[0.6664, 0.6664, 0.4990], [0.0000, 0.0001, 0.9989], [0.3333, 0.3334, 0.5002], [0.0686, 0.3403, 0.2697], [0.3419, 0.0678, 0.7308], [0.5902, 0.3421, 0.7309], [0.0671, 0.5910, 0.7303], [0.3405, 0.5911, 0.2697], [0.5919, 0.0679, 0.2703]]
}

=====

[3]
{
  "formula": "KRb2YI6",
  "functional": "PBE",
  "state": "optimized geometry",
  "de_polymorph_mev_per_atom": 0,
  "e_form_raw_ev_per_atom": -1.47,
  "final_energy_ev_per_atom": -3.353,
  "volume_a3_per_atom": 48.79,
  "n_ef_per_ev_atom": 0.00,
  "cell": [[8.6266, 0.0000, 0.0471], [0.0000, 9.1702, 0.0000], [0.1429, 0.0000, 12.3369]],
  "species": ["K", "K", "Rb", "Rb", "Rb", "Rb", "Y", "Y", "I", "I", "I", "I", "I", "I", "I", "I", "I", "I", "I", "I"],
  "frac_coords": [[0.5000, 0.0000, 0.0000], [0.0000, 0.5000, 0.5000], [0.0324, 0.9172, 0.2536], [0.5324, 0.5828, 0.7536], [0.9676, 0.0828, 0.7464], [0.4676, 0.4172, 0.2464], [0.5000, 0.0000, 0.5000], [0.0000, 0.5000, 0.0000], [0.2861, 0.6796, 0.0544], [0.7861, 0.8204, 0.5544], [0.7139, 0.3204, 0.9456], [0.2139, 0.1796, 0.4456], [0.3306, 0.7206, 0.4352], [0.8306, 0.7794, 0.9352], [0.6694, 0.2794, 0.5648], [0.1694, 0.2206, 0.0648], [0.8791, 0.5383, 0.2315], [0.3791, 0.9617, 0.7315], [0.1209, 0.4617, 0.7685], [0.6209, 0.0383, 0.2685]]
}

=====

[4]
{
  "formula": "KRb2YI6",
  "functional": "PBE",
  "state": "optimized geometry",
  "de_polymorph_mev_per_atom": 55,
  "e_form_raw_ev_per_atom": -1.42,
  "final_energy_ev_per_atom": -3.298,
  "volume_a3_per_atom": 51.94,
  "n_ef_per_ev_atom": 0.00,
  "cell": [[-4.0896, -7.3405, 3.2869], [8.0428, -3.7319, 1.6727], [1.9756, -2.9284, 8.3025]],
  "species": ["I", "I", "I", "I", "I", "I", "Y", "K", "Rb", "Rb"],
  "frac_coords": [[0.2367, 0.2367, 0.5266], [0.7633, 0.7633, 0.4734], [0.2367, 0.2367, 0.0000], [0.7633, 0.7633, 0.0000], [0.7633, 0.2367, 0.0000], [0.2367, 0.7633, 0.0000], [0.0000, 0.0000, 0.0000], [0.5000, 0.5000, 0.0000], [0.7500, 0.2500, 0.5000], [0.2500, 0.7500, 0.5000]]
}

=====

[5]
{
  "formula": "K3RbZn4I12",
  "functional": "PBE",
  "state": "optimized geometry",
  "e_form_raw_ev_per_atom": -0.90,
  "final_energy_ev_per_atom": -2.301,
  "volume_a3_per_atom": 55.94,
  "n_ef_per_ev_atom": 0.00,
  "cell": [[10.6460, 0.1942, 0.2698], [-2.3766, 10.3791, 0.2698], [-2.3766, -3.0387, 9.9280]],
  "species": ["K", "K", "K", "Rb", "Zn", "Zn", "Zn", "Zn", "I", "I", "I", "I", "I", "I", "I", "I", "I", "I", "I", "I"],
  "frac_coords": [[0.5357, 0.4643, 0.0000], [0.4643, 0.0000, 0.5357], [0.0000, 0.5357, 0.4643], [0.0000, 0.0000, 0.0000], [0.9521, 0.0479, 0.5000], [0.0479, 0.5000, 0.9521], [0.5000, 0.9521, 0.0479], [0.5000, 0.5000, 0.5000], [0.5000, 0.3466, 0.6534], [0.8934, 0.5000, 0.1066], [0.1066, 0.8934, 0.5000], [0.5000, 0.1066, 0.8934], [0.3346, 0.9513, 0.1896], [0.1896, 0.3346, 0.9513], [0.9513, 0.1896, 0.3346], [0.6654, 0.8104, 0.0487], [0.0487, 0.6654, 0.8104], [0.8104, 0.0487, 0.6654], [0.6534, 0.5000, 0.3466], [0.3466, 0.6534, 0.5000]]
}

=====

[6]
{
  "formula": "KRbZn2I6",
  "functional": "PBE",
  "state": "optimized geometry",
  "e_form_raw_ev_per_atom": -0.91,
  "final_energy_ev_per_atom": -2.304,
  "volume_a3_per_atom": 54.63,
  "n_ef_per_ev_atom": 0.00,
  "cell": [[9.0229, -0.8928, -0.2780], [-1.9908, 8.8458, -0.2780], [-2.6951, -3.0480, 14.2130]],
  "species": ["K", "K", "Rb", "Rb", "Zn", "Zn", "Zn", "Zn", "I", "I", "I", "I", "I", "I", "I", "I", "I", "I", "I", "I"],
  "frac_coords": [[0.6164, 0.3836, 0.2500], [0.3836, 0.6164, 0.7500], [0.2079, 0.7921, 0.2500], [0.7921, 0.2079, 0.7500], [0.3126, 0.1441, 0.6963], [0.8559, 0.6874, 0.8037], [0.6874, 0.8559, 0.3037], [0.1441, 0.3126, 0.1963], [0.9050, 0.3727, 0.1134], [0.6273, 0.0950, 0.3866], [0.0950, 0.6273, 0.8866], [0.3727, 0.9050, 0.6134], [0.2283, 0.0948, 0.1092], [0.9052, 0.7717, 0.3908], [0.7717, 0.9052, 0.8908], [0.0948, 0.2283, 0.6092], [0.3154, 0.4797, 0.3638], [0.5203, 0.6846, 0.1362], [0.6846, 0.5203, 0.6362], [0.4797, 0.3154, 0.8638]]
}

=====

[7]
{
  "formula": "KRbZnI4",
  "functional": "PBE",
  "state": "optimized geometry",
  "e_form_raw_ev_per_atom": -1.12,
  "final_energy_ev_per_atom": -2.486,
  "volume_a3_per_atom": 45.67,
  "n_ef_per_ev_atom": 0.00,
  "cell": [[8.0844, 0.0000, 0.0111], [0.0000, 8.2505, 0.0000], [-3.1444, 0.0000, 9.5810]],
  "species": ["K", "K", "Rb", "Rb", "Zn", "Zn", "I", "I", "I", "I", "I", "I", "I", "I"],
  "frac_coords": [[0.7720, 0.7500, 0.4454], [0.2280, 0.2500, 0.5546], [0.7383, 0.7500, 0.9336], [0.2617, 0.2500, 0.0664], [0.2173, 0.7500, 0.3063], [0.7827, 0.2500, 0.6937], [0.9978, 0.5013, 0.7487], [0.0022, 0.0013, 0.2513], [0.0022, 0.4987, 0.2513], [0.9978, 0.9987, 0.7487], [0.4077, 0.7500, 0.1349], [0.5923, 0.2500, 0.8651], [0.4044, 0.7500, 0.5709], [0.5956, 0.2500, 0.4291]]
}

=====

[8]
{
  "formula": "K2RbZrI8",
  "functional": "PBE",
  "state": "optimized geometry",
  "e_form_raw_ev_per_atom": -1.07,
  "final_energy_ev_per_atom": -3.082,
  "volume_a3_per_atom": 50.98,
  "n_ef_per_ev_atom": 0.16,
  "cell": [[8.1317, -0.0191, -0.0084], [-0.0676, 6.9498, 0.0055], [0.0015, 0.0288, 10.8252]],
  "species": ["K", "K", "Rb", "Zr", "I", "I", "I", "I", "I", "I", "I", "I"],
  "frac_coords": [[0.4997, 0.4981, 0.7793], [0.5003, 0.5019, 0.2207], [0.0000, 0.0000, 0.5000], [0.0000, 0.0000, 0.0000], [0.1248, 0.7557, 0.1935], [0.6927, 0.7889, 0.9985], [0.8726, 0.2420, 0.1924], [0.8752, 0.2443, 0.8065], [0.3073, 0.2111, 0.0015], [0.1274, 0.7580, 0.8076], [0.5123, 0.7574, 0.5001], [0.4877, 0.2426, 0.4999]]
}

=====

[9]
{
  "formula": "KRb2ZrI6",
  "functional": "PBE",
  "state": "optimized geometry",
  "de_polymorph_mev_per_atom": 0,
  "e_form_raw_ev_per_atom": -1.19,
  "final_energy_ev_per_atom": -3.283,
  "volume_a3_per_atom": 52.09,
  "n_ef_per_ev_atom": 0.61,
  "cell": [[-1.6944, -6.0751, 5.6256], [3.8000, -7.5225, -0.6308], [13.2667, 0.9966, 11.4203]],
  "species": ["K", "K", "Rb", "Rb", "Rb", "Rb", "Zr", "Zr", "I", "I", "I", "I", "I", "I", "I", "I", "I", "I", "I", "I"],
  "frac_coords": [[0.5837, 0.5837, 0.2489], [0.4163, 0.4163, 0.7511], [0.8565, 0.8565, 0.4305], [0.1435, 0.1435, 0.5695], [0.6889, 0.6889, 0.9334], [0.3111, 0.3111, 0.0666], [0.0000, 0.0000, 0.0000], [0.5000, 0.5000, 0.5000], [0.8633, 0.3689, 0.3989], [0.3689, 0.8633, 0.3989], [0.3689, 0.3689, 0.3989], [0.1367, 0.6311, 0.6011], [0.6311, 0.1367, 0.6011], [0.6311, 0.6311, 0.6011], [0.7089, 0.1965, 0.8981], [0.1965, 0.7089, 0.8981], [0.1965, 0.1965, 0.8981], [0.2911, 0.8035, 0.1019], [0.8035, 0.2911, 0.1019], [0.8035, 0.8035, 0.1019]]
}

=====

[10]
{
  "formula": "KRbZrI6",
  "functional": "PBE",
  "state": "optimized geometry",
  "e_form_raw_ev_per_atom": -1.16,
  "final_energy_ev_per_atom": -3.376,
  "volume_a3_per_atom": 51.72,
  "n_ef_per_ev_atom": 0.00,
  "cell": [[8.6294, 0.0000, 0.0000], [-4.3147, 7.4733, 0.0000], [0.0000, 0.0000, 14.4362]],
  "species": ["K", "K", "Rb", "Rb", "Zr", "Zr", "I", "I", "I", "I", "I", "I", "I", "I", "I", "I", "I", "I"],
  "frac_coords": [[0.3333, 0.6667, 0.2500], [0.6667, 0.3333, 0.7500], [0.0000, 0.0000, 0.0000], [0.0000, 0.0000, 0.5000], [0.6667, 0.3333, 0.2500], [0.3333, 0.6667, 0.7500], [0.6599, 0.6020, 0.1333], [0.9421, 0.3401, 0.1333], [0.3402, 0.9421, 0.6333], [0.0579, 0.6599, 0.8667], [0.3980, 0.3401, 0.3667], [0.9421, 0.6020, 0.3667], [0.6020, 0.9421, 0.8667], [0.6599, 0.0579, 0.3667], [0.0579, 0.3980, 0.6333], [0.3980, 0.0579, 0.1333], [0.6020, 0.6599, 0.6333], [0.3402, 0.3980, 0.8667]]
}

=====

[11]
{
  "formula": "KRb2ZrI6",
  "functional": "PBE",
  "state": "optimized geometry",
  "de_polymorph_mev_per_atom": 25,
  "e_form_raw_ev_per_atom": -1.17,
  "final_energy_ev_per_atom": -3.257,
  "volume_a3_per_atom": 49.31,
  "n_ef_per_ev_atom": 1.21,
  "cell": [[8.8673, 0.0000, 0.0000], [0.0000, 8.8673, 0.0000], [4.4336, 4.4336, 6.2708]],
  "species": ["I", "I", "I", "I", "I", "I", "K", "Rb", "Rb", "Zr"],
  "frac_coords": [[0.2329, 0.2329, 0.5342], [0.7671, 0.7671, 0.4658], [0.2329, 0.2329, 0.0000], [0.7671, 0.7671, 0.0000], [0.7671, 0.2329, 0.0000], [0.2329, 0.7671, 0.0000], [0.5000, 0.5000, 0.0000], [0.7500, 0.2500, 0.5000], [0.2500, 0.7500, 0.5000], [0.0000, 0.0000, 0.0000]]
}

=====

[12]
{
  "formula": "KRe2I",
  "functional": "PBE",
  "state": "optimized geometry",
  "de_polymorph_mev_per_atom": 0,
  "e_form_raw_ev_per_atom": 1.44,
  "final_energy_ev_per_atom": -5.449,
  "volume_a3_per_atom": 24.98,
  "n_ef_per_ev_atom": 1.25,
  "cell": [[-2.1397, -1.4991, 3.3099], [-2.9990, -1.4401, -2.5909], [2.8996, -11.2498, -0.5347]],
  "species": ["I", "I", "Re", "Re", "Re", "Re", "K", "K"],
  "frac_coords": [[0.0000, 0.0000, 0.0000], [0.7500, 0.2500, 0.5000], [0.0237, 0.1250, 0.2500], [0.7263, 0.6250, 0.2500], [0.3750, 0.9763, 0.7500], [0.8750, 0.2737, 0.7500], [0.5000, 0.5000, 0.0000], [0.2500, 0.7500, 0.5000]]
}

=====

[13]
{
  "formula": "KReI2",
  "functional": "PBE",
  "state": "optimized geometry",
  "de_polymorph_mev_per_atom": 0,
  "e_form_raw_ev_per_atom": 0.36,
  "final_energy_ev_per_atom": -3.799,
  "volume_a3_per_atom": 34.42,
  "n_ef_per_ev_atom": 0.25,
  "cell": [[8.6655, 0.0000, 0.0000], [0.0000, 8.6655, 0.0000], [4.3328, 4.3328, 3.6674]],
  "species": ["I", "I", "I", "I", "Re", "Re", "K", "K"],
  "frac_coords": [[0.7426, 0.1250, 0.2500], [0.0074, 0.6250, 0.2500], [0.3750, 0.2574, 0.7500], [0.8750, 0.9926, 0.7500], [0.0000, 0.0000, 0.0000], [0.7500, 0.2500, 0.5000], [0.5000, 0.5000, 0.0000], [0.2500, 0.7500, 0.5000]]
}

=====

[14]
{
  "formula": "K2Re2I",
  "functional": "PBE",
  "state": "optimized geometry",
  "de_polymorph_mev_per_atom": 741,
  "e_form_raw_ev_per_atom": 1.08,
  "final_energy_ev_per_atom": -4.646,
  "volume_a3_per_atom": 32.39,
  "n_ef_per_ev_atom": 0.83,
  "cell": [[-6.2672, -6.5345, 5.4744], [3.6597, -8.1991, -5.5971], [2.1057, -0.3889, 1.9464]],
  "species": ["I", "I", "Re", "Re", "Re", "Re", "K", "K", "K", "K"],
  "frac_coords": [[0.0000, 0.0000, 0.0000], [0.5000, 0.5000, 0.0000], [0.0729, 0.5729, 0.5000], [0.5729, 0.9271, 0.5000], [0.9271, 0.4271, 0.5000], [0.4271, 0.0729, 0.5000], [0.2952, 0.7952, 0.0000], [0.7952, 0.7048, 0.0000], [0.7048, 0.2048, 0.0000], [0.2048, 0.2952, 0.0000]]
}

=====

[15]
{
  "formula": "KReI2",
  "functional": "PBE",
  "state": "optimized geometry",
  "de_polymorph_mev_per_atom": 564,
  "e_form_raw_ev_per_atom": 0.93,
  "final_energy_ev_per_atom": -3.235,
  "volume_a3_per_atom": 26.50,
  "n_ef_per_ev_atom": 1.76,
  "cell": [[-4.9404, 0.5903, 1.8611], [-2.2635, 4.8056, 0.0487], [-3.9835, 1.0937, -3.3399]],
  "species": ["I", "I", "Re", "K"],
  "frac_coords": [[0.2500, 0.2500, 0.2500], [0.7500, 0.7500, 0.7500], [0.5000, 0.5000, 0.5000], [0.0000, 0.0000, 0.0000]]
}

=====

[16]
{
  "formula": "K2Re2I",
  "functional": "PBE",
  "state": "optimized geometry",
  "de_polymorph_mev_per_atom": 0,
  "e_form_raw_ev_per_atom": 0.34,
  "final_energy_ev_per_atom": -5.386,
  "volume_a3_per_atom": 28.51,
  "n_ef_per_ev_atom": 0.83,
  "cell": [[-3.2675, 1.4809, 0.3141], [-1.4580, -3.2796, 0.2950], [-1.1194, -0.4704, 11.2180]],
  "species": ["I", "Re", "Re", "K", "K"],
  "frac_coords": [[0.0000, 0.0000, 0.0000], [0.7500, 0.2500, 0.5000], [0.2500, 0.7500, 0.5000], [0.3940, 0.3940, 0.2119], [0.6060, 0.6060, 0.7881]]
}

=====

[17]
{
  "formula": "KRe2I",
  "functional": "PBE",
  "state": "optimized geometry",
  "de_polymorph_mev_per_atom": 930,
  "e_form_raw_ev_per_atom": 2.37,
  "final_energy_ev_per_atom": -4.519,
  "volume_a3_per_atom": 19.11,
  "n_ef_per_ev_atom": 1.48,
  "cell": [[0.0000, 3.3686, 3.3686], [3.3686, 0.0000, 3.3686], [3.3686, 3.3686, 0.0000]],
  "species": ["I", "Re", "Re", "K"],
  "frac_coords": [[0.5000, 0.5000, 0.5000], [0.2500, 0.2500, 0.2500], [0.7500, 0.7500, 0.7500], [0.0000, 0.0000, 0.0000]]
}

=====

[18]
{
  "formula": "KReRh2I",
  "functional": "PBE",
  "state": "optimized geometry",
  "e_form_raw_ev_per_atom": 0.93,
  "final_energy_ev_per_atom": -5.030,
  "volume_a3_per_atom": 30.25,
  "n_ef_per_ev_atom": 1.02,
  "cell": [[4.7009, 0.0000, 0.0000], [0.0000, 4.7009, 0.0000], [0.0000, 0.0000, 6.8451]],
  "species": ["I", "Re", "K", "Rh", "Rh"],
  "frac_coords": [[0.5000, 0.5000, 0.5000], [0.0000, 0.0000, 0.0000], [0.0000, 0.0000, 0.5000], [0.0000, 0.5000, 0.0000], [0.5000, 0.0000, 0.0000]]
}

=====

[19]
{
  "formula": "KReTe2I",
  "functional": "PBE",
  "state": "optimized geometry",
  "e_form_raw_ev_per_atom": 0.07,
  "final_energy_ev_per_atom": -4.209,
  "volume_a3_per_atom": 33.56,
  "n_ef_per_ev_atom": 0.84,
  "cell": [[5.2212, 0.0000, 0.0000], [0.0000, 5.2212, 0.0000], [0.0000, 0.0000, 6.1551]],
  "species": ["I", "Re", "K", "Te", "Te"],
  "frac_coords": [[0.0000, 0.0000, 0.5000], [0.0000, 0.0000, 0.0000], [0.5000, 0.5000, 0.5000], [0.0000, 0.5000, 0.0000], [0.5000, 0.0000, 0.0000]]
}

=====

[20]
{
  "formula": "KReTeI2",
  "functional": "PBE",
  "state": "optimized geometry",
  "de_polymorph_mev_per_atom": 1346,
  "e_form_raw_ev_per_atom": 1.38,
  "final_energy_ev_per_atom": -2.580,
  "volume_a3_per_atom": 51.88,
  "n_ef_per_ev_atom": 0.95,
  "cell": [[-5.2640, -1.1695, -3.4532], [2.9211, -4.9820, -2.7656], [-2.1554, -3.8025, 4.5734]],
  "species": ["I", "I", "Re", "K", "Te"],
  "frac_coords": [[0.0000, 0.5000, 0.0000], [0.5000, 0.0000, 0.0000], [0.5000, 0.5000, 0.5000], [0.0000, 0.0000, 0.0000], [0.0000, 0.0000, 0.5000]]
}